Record 1
Entry from Alexandria: a relaxed CdRe2Os crystal (PBE-GGA). Values from VASP.

```
&SYSTEM
  ibrav = 0, nat = 4, ntyp = 3
/
ATOMIC_SPECIES
Cd 112.41 Cd.upf
Re 186.21 Re.upf
Os 190.23 Os.upf
CELL_PARAMETERS angstrom
2.8227 0.0000 0.0000
0.0000 4.4660 0.0000
0.0000 0.0000 5.0030
ATOMIC_POSITIONS crystal
Cd 0.0000 0.0000 0.0000
Re 0.5000 0.0000 0.4965
Re 0.5000 0.5000 0.2077
Os 0.0000 0.5000 0.6731
```

Properties
space group	Pmm2
ΔE_f	0.5026	eV per atom



Record 2
Entry from Alexandria: a relaxed CdRe2Os crystal (PBE-GGA). Values from VASP.

```
&SYSTEM
  ibrav = 0, nat = 4, ntyp = 3
/
ATOMIC_SPECIES
Cd 112.41 Cd.upf
Re 186.21 Re.upf
Os 190.23 Os.upf
CELL_PARAMETERS angstrom
-1.3884 2.3311 5.1981
1.3884 -2.3311 5.1981
1.3884 2.3311 -5.1981
ATOMIC_POSITIONS crystal
Cd 0.0000 0.0000 0.0000
Re 0.2870 0.7870 0.5000
Re 0.7130 0.2130 0.5000
Os 0.5000 0.5000 0.0000
```

Properties
space group	Immm
ΔE_f	0.5870	eV per atom



no.,E_tot (eV/atom)
1,-8.758
2,-8.673